DFT (PBE) results for crystalline Ga2Te2I at its relaxed geometry.

Properties
Crystal system: triclinic
Formation energy (no corrections): -1.26 eV/f.u.

Unit cell a=4.249 b=8.244 c=11.866 alpha=90.44 beta=99.88 gamma=104.81
Space group P-1 (No. 2)
Asymmetric unit:
Ga1 0.149 0.089 0.212 x2
Ga2 0.151 0.588 0.712 x2
Te1 0.349 0.295 0.408 x2
Te2 0.351 0.795 0.908 x2
I1 0.003 0.249 0.750 x2

DFT (PBE) results for crystalline Ga2Te2I at its relaxed geometry.

Properties
Crystal system: tetragonal
Formation energy (no corrections): 0.09 eV/f.u.

Unit cell a=8.534 b=8.534 c=3.674 alpha=90.00 beta=90.00 gamma=90.00
Space group P4/mbm (No. 127)
Asymmetric unit:
Ga1 0.153 0.347 0.000 x4
Te1 0.148 0.648 0.500 x4
I1 0.000 0.000 0.000 x2

DFT (PBE) results for crystalline GaTeI at its relaxed geometry.

Properties
Crystal system: orthorhombic
Formation energy (no corrections): -1.27 eV/f.u.

Unit cell a=4.228 b=9.068 c=6.094 alpha=90.00 beta=90.00 gamma=90.00
Space group Pmn2_1 (No. 31)
Asymmetric unit:
Ga1 0.000 0.109 0.000 x2
Te1 0.000 0.857 0.228 x2
I1 0.000 0.343 0.234 x2

DFT (PBE) results for crystalline Ga3Te3I at its relaxed geometry.

Properties
Crystal system: orthorhombic
Formation energy (no corrections): -2.85 eV/f.u.

Unit cell a=11.547 b=4.167 c=20.848 alpha=90.00 beta=90.00 gamma=90.00
Space group Pnma (No. 62)
Asymmetric unit:
Ga1 0.054 0.250 0.096 x4
Ga2 0.171 0.250 0.632 x4
Ga3 0.171 0.250 0.997 x4
Te1 0.087 0.250 0.876 x4
Te2 0.178 0.250 0.503 x4
Te3 0.220 0.250 0.187 x4
I1 0.042 0.750 0.332 x4

DFT (PBE) results for crystalline Ga2Te2I at its relaxed geometry.

Properties
Crystal system: tetragonal
Formation energy (no corrections): -1.10 eV/f.u.

Unit cell a=4.776 b=4.776 c=13.538 alpha=90.00 beta=90.00 gamma=90.00
Space group I4/mmm (No. 139)
Asymmetric unit:
Ga1 0.000 0.500 0.250 x4
Te1 0.000 0.000 0.141 x4
I1 0.000 0.000 0.500 x2

DFT (PBE) results for crystalline Ga2TeI at its relaxed geometry.

Properties
Crystal system: tetragonal
Formation energy (no corrections): -0.40 eV/f.u.

Unit cell a=7.839 b=7.839 c=8.917 alpha=90.00 beta=90.00 gamma=90.00
Space group I-42d (No. 122)
Asymmetric unit:
Ga1 0.227 0.250 0.125 x8
Te1 0.000 0.000 0.000 x4
I1 0.000 0.000 0.500 x4

DFT (PBE) results for crystalline Ga12Te3I5 at its relaxed geometry.

Properties
Crystal system: cubic
Formation energy (no corrections): -0.36 eV/f.u.

Unit cell a=18.433 b=18.433 c=18.433 alpha=90.00 beta=90.00 gamma=90.00
Space group Ia-3d (No. 230)
Asymmetric unit:
Ga1 0.004 0.070 0.162 x96
Te1 0.000 0.250 0.125 x24
I1 0.000 0.000 0.000 x16
I2 0.000 0.250 0.375 x24

DFT (PBE) results for crystalline Ga2TeI2 at its relaxed geometry.

Properties
Crystal system: triclinic
Formation energy (no corrections): -1.64 eV/f.u.

Unit cell a=7.257 b=7.868 c=8.446 alpha=62.30 beta=88.54 gamma=89.91
Space group P-1 (No. 2)
Asymmetric unit:
Ga1 0.053 0.044 0.112 x2
Ga2 0.446 0.156 0.888 x2
Te1 0.250 0.357 0.000 x2
I1 0.243 0.031 0.668 x2
I2 0.257 0.700 0.332 x2

DFT (PBE) results for crystalline GaTeI at its relaxed geometry.

Properties
Crystal system: trigonal
Formation energy (no corrections): -0.76 eV/f.u.

Unit cell a=4.0705 b=4.0705 c=7.2428 alpha=90.00 beta=90.00 gamma=120.00
Space group P3m1 (No. 156)
Asymmetric unit:
Ga1 0.0000 0.0000 0.0000 x1
Te1 0.6667 0.3333 0.1901 x1
I1 0.3333 0.6667 0.7313 x1

DFT (PBE) results for crystalline Ga2TeI at its relaxed geometry.

Properties
Crystal system: trigonal
Formation energy (no corrections): -0.84 eV/f.u.

Unit cell a=4.3866 b=4.3866 c=21.5764 alpha=90.00 beta=90.00 gamma=120.00
Space group R-3m (No. 166, hexagonal axes)
Asymmetric unit:
Ga1 0.0000 0.0000 0.2394 x6
Te1 0.0000 0.0000 0.5000 x3
I1 0.0000 0.0000 0.0000 x3

DFT (PBE) results for crystalline Ga2Te2I at its relaxed geometry.

Properties
Crystal system: tetragonal
Formation energy (no corrections): -0.59 eV/f.u.

Unit cell a=4.425 b=4.425 c=16.092 alpha=90.00 beta=90.00 gamma=90.00
Space group I4/mmm (No. 139)
Asymmetric unit:
Ga1 0.000 0.000 0.093 x4
Te1 0.000 0.500 0.250 x4
I1 0.000 0.000 0.500 x2

DFT (PBE) results for crystalline Ga3TeI at its relaxed geometry.

Properties
Crystal system: cubic
Formation energy (no corrections): 1.12 eV/f.u.

Unit cell a=5.961 b=5.961 c=5.961 alpha=90.00 beta=90.00 gamma=90.00
Space group Pm-3m (No. 221)
Asymmetric unit:
Ga1 0.000 0.000 0.500 x3
Te1 0.000 0.000 0.000 x1
I1 0.500 0.500 0.500 x1

no.,electronic total energy (eV/atom)
1,-3.0302
2,-2.7604
3,-2.9969
4,-3.2728
5,-2.9975
6,-2.7858
7,-2.6931
8,-2.7873
9,-2.8247
10,-2.8970
11,-2.8959
12,-2.5311